Entry 1:
A geometry-optimized AlSe2Br structure. Source: Alexandria, functional GGA-PBE.

Lattice parameters (Å, degrees): 8.1650 8.1650 8.1650 27.42 27.42 27.42
Element x y z (fractional)
Se 0.8894 0.8894 0.8894
Al 0.5000 0.5000 0.5000
Br 0.0000 0.0000 0.0000
Se 0.1106 0.1106 0.1106

M_tot, μB per formula unit: 0.0
Calculated volume, Å³/atom: 25.5
Total DFT energy (no corrections), eV per atom: -3.59
Formation energy (no corrections), eV per atom: -0.490
Energy relative to the lowest polymorph listed for this composition, eV/atom: 0.085
D(E_F), states/eV per cell: 0.00

Entry 2:
A geometry-optimized LaSmTlHg structure. Source: Alexandria, functional GGA-PBE.

Lattice parameters (Å, degrees): 5.5103 5.5103 5.5103 60.00 60.00 60.00
Site moments in Bohr magnetons follow the coordinates.
Element x y z (fractional)
Sm 0.2500 0.2500 0.2500  0.23
La 0.7500 0.7500 0.7500  0.18
Hg 0.5000 0.5000 0.5000  0.04
Tl 0.0000 0.0000 0.0000  0.00

DFT formation energy, meV/atom: -440
M_tot, μB per formula unit: 0.9
Calculated volume, Å³/atom: 29.6
Total DFT energy (no corrections), eV per atom: -3.52
D(E_F), states/eV per cell: 3.95

Entry 3:
A geometry-optimized CsNb3Re structure. Source: Alexandria, functional GGA-PBE.

Lattice parameters (Å, degrees): 5.0637 5.0637 5.0637 90.00 90.00 90.00
Site moments in Bohr magnetons follow the coordinates.
Element x y z (fractional)
Nb 0.0000 0.5000 0.0000  0.18
Re 0.0000 0.0000 0.0000  -0.03
Cs 0.5000 0.5000 0.5000  0.04
Nb 0.5000 0.0000 0.0000  0.45
Nb 0.0000 0.0000 0.5000  0.12

DFT formation energy, meV/atom: 1463
M_tot, μB per formula unit: 1.0
Calculated volume, Å³/atom: 26.0
Total DFT energy (no corrections), eV per atom: -7.24
Energy relative to the lowest polymorph listed for this composition, eV/atom: 0.000
D(E_F), states/eV per cell: 6.06

Entry 4:
A geometry-optimized TmFeTcP2 structure. Source: Alexandria, functional GGA-PBE.

Lattice parameters (Å, degrees): 3.9841 3.9841 5.4801 111.32 111.32 90.00
Element x y z (fractional)
Tc 0.2500 0.7500 0.5000
P 0.3713 0.3713 0.7426
Fe 0.7500 0.2500 0.5000
P 0.6287 0.6287 0.2574
Tm 0.0000 0.0000 0.0000

DFT formation energy, meV/atom: -914
M_tot, μB per formula unit: 0.0
Calculated volume, Å³/atom: 14.9
Total DFT energy (no corrections), eV per atom: -7.74
D(E_F), states/eV per cell: 2.59

Entry 5:
A geometry-optimized Y2ScPdO structure. Source: Alexandria, functional GGA-PBE.

Lattice parameters (Å, degrees): 4.8261 4.8261 4.2071 90.00 90.00 90.00
Element x y z (fractional)
Y 0.5000 0.0000 0.0000
Sc 0.0000 0.0000 0.5000
Pd 0.5000 0.5000 0.5000
O 0.0000 0.0000 0.0000
Y 0.0000 0.5000 0.0000

M_tot, μB per formula unit: 0.0
Calculated volume, Å³/atom: 19.6
Total DFT energy (no corrections), eV per atom: -7.35
Formation energy (no corrections), eV per atom: -1.464
Energy relative to the lowest polymorph listed for this composition, eV/atom: 0.000
D(E_F), states/eV per cell: 3.20

Entry 6:
A geometry-optimized Dy4SnPt structure. Source: Alexandria, functional GGA-PBE.

Lattice parameters (Å, degrees): 7.0457 7.0546 7.4268 90.00 91.40 90.00
Element x y z (fractional)
Sn 0.5000 0.5000 0.0000
Sn 0.0000 0.0000 0.0000
Dy 0.3636 0.8538 0.1797
Dy 0.8272 0.1630 0.3580
Dy 0.1728 0.8370 0.6420
Dy 0.6728 0.6630 0.6420
Dy 0.1364 0.3538 0.8203
Dy 0.6364 0.1462 0.8203
Pt 0.5000 0.0000 0.5000
Pt 0.0000 0.5000 0.5000
Dy 0.3272 0.3370 0.3580
Dy 0.8636 0.6462 0.1797

DFT formation energy, meV/atom: -561
M_tot, μB per formula unit: 0.0
Calculated volume, Å³/atom: 30.8
Total DFT energy (no corrections), eV per atom: -5.30
D(E_F), states/eV per cell: 10.62

Entry 7:
A geometry-optimized MgBe2Ge structure. Source: Alexandria, functional GGA-PBE.

Lattice parameters (Å, degrees): 4.2949 4.2949 4.2949 60.00 60.00 60.00
Element x y z (fractional)
Ge 0.5000 0.5000 0.5000
Be 0.7500 0.7500 0.7500
Be 0.2500 0.2500 0.2500
Mg 0.0000 0.0000 0.0000

DFT formation energy, meV/atom: 487
M_tot, μB per formula unit: 0.0
Calculated volume, Å³/atom: 14.0
Total DFT energy (no corrections), eV per atom: -2.93
Energy relative to the lowest polymorph listed for this composition, eV/atom: 0.145
D(E_F), states/eV per cell: 2.34

Entry 8:
A geometry-optimized Sm6Ho4Th structure. Source: Alexandria, functional GGA-PBE.

Lattice parameters (Å, degrees): 5.8284 5.6390 25.7455 90.00 90.00 121.12
Element x y z (fractional)
Sm 0.8810 0.7619 0.8184
Sm 0.1190 0.2381 0.3184
Ho 0.8495 0.6989 0.5423
Sm 0.2038 0.4076 0.8994
Ho 0.5487 0.0974 0.6231
Sm 0.5000 0.0000 0.5000
Ho 0.5487 0.0974 0.8769
Sm 0.8810 0.7619 0.6816
Ho 0.8495 0.6989 0.9577
Sm 0.5518 0.1035 0.7500
Ho 0.1505 0.3011 0.4577
Sm 0.7962 0.5924 0.3994
Ho 0.4513 0.9026 0.1231
Th 0.7876 0.5752 0.2500
Ho 0.1505 0.3011 0.0423
Sm 0.5000 0.0000 0.0000
Sm 0.7962 0.5924 0.1006
Sm 0.1190 0.2381 0.1816
Sm 0.4482 0.8965 0.2500
Th 0.2124 0.4248 0.7500
Ho 0.4513 0.9026 0.3769
Sm 0.2038 0.4076 0.6006

DFT formation energy, meV/atom: 146
M_tot, μB per formula unit: 0.0
Calculated volume, Å³/atom: 32.9
Total DFT energy (no corrections), eV per atom: -4.77
D(E_F), states/eV per cell: 39.82